1.
! Ba2NaTlSe4 PBE optimized geometry; values from VASP
&SYSTEM
  ibrav = 0, nat = 16, ntyp = 4
/
ATOMIC_SPECIES
Ba 137.33 Ba.upf
Na 22.99 Na.upf
Tl 204.38 Tl.upf
Se 78.96 Se.upf
ATOMIC_POSITIONS crystal
Ba 0.0000 0.0000 0.0000
Ba 0.5000 0.0000 0.0000
Ba 0.5000 0.0000 0.5000
Ba 0.5000 0.5000 0.5000
Na 0.0000 0.0000 0.5000
Na 0.0000 0.5000 0.0000
Tl 0.0000 0.5000 0.5000
Tl 0.5000 0.5000 0.0000
Se 0.2161 0.7266 0.4895
Se 0.2396 0.2498 0.5102
Se 0.2396 0.7294 0.9898
Se 0.2630 0.2734 0.9895
Se 0.7370 0.7266 0.0105
Se 0.7604 0.2706 0.0102
Se 0.7604 0.7502 0.4898
Se 0.7839 0.2734 0.5105
CELL_PARAMETERS angstrom
-4.5480 4.5559 6.1459
4.5480 -4.5559 6.1459
4.5480 4.5559 -6.1459
! Formation energy without anion corrections: -1191.6 meV per atom

2.
! BaNaTl2Se4 PBE optimized geometry; values from VASP
&SYSTEM
  ibrav = 0, nat = 8, ntyp = 4
/
ATOMIC_SPECIES
Ba 137.33 Ba.upf
Na 22.99 Na.upf
Tl 204.38 Tl.upf
Se 78.96 Se.upf
ATOMIC_POSITIONS crystal
Ba 0.0000 0.0000 0.0000
Na 0.5000 0.5000 0.0000
Tl 0.2537 0.7537 0.5000
Tl 0.7463 0.2463 0.5000
Se 0.0916 0.0883 0.5529
Se 0.4646 0.9117 0.0032
Se 0.5354 0.5387 0.4471
Se 0.9084 0.4613 0.9968
CELL_PARAMETERS angstrom
-3.8296 3.8662 4.3163
3.8296 -3.8662 4.3163
3.8296 3.8662 -4.3163
! Formation energy without anion corrections: -730.9 meV per atom

3.
! Ba2NaUSe6 PBE optimized geometry; values from VASP
&SYSTEM
  ibrav = 0, nat = 20, ntyp = 4
/
ATOMIC_SPECIES
Ba 137.33 Ba.upf
Na 22.99 Na.upf
U 238.03 U.upf
Se 78.96 Se.upf
ATOMIC_POSITIONS crystal
Ba 0.2079 0.0850 0.2408
Ba 0.2079 0.4150 0.7408
Ba 0.7921 0.5850 0.2592
Ba 0.7921 0.9150 0.7592
Na 0.0000 0.0000 0.5000
Na 0.0000 0.5000 0.0000
U 0.5000 0.0000 0.0000
U 0.5000 0.5000 0.5000
Se 0.1642 0.1839 0.9552
Se 0.1642 0.3161 0.4552
Se 0.2721 0.7189 0.9480
Se 0.2721 0.7811 0.4480
Se 0.3619 0.0211 0.7558
Se 0.3619 0.4789 0.2558
Se 0.6381 0.5211 0.7442
Se 0.6381 0.9789 0.2442
Se 0.7279 0.2189 0.5520
Se 0.7279 0.2811 0.0520
Se 0.8358 0.6839 0.5448
Se 0.8358 0.8161 0.0448
CELL_PARAMETERS angstrom
7.4934 0.0000 0.0000
0.0000 8.0668 0.0000
-6.8364 0.0000 10.5665
! Formation energy without anion corrections: -1354.4 meV per atom

4.
! BaNa2USe6 PBE optimized geometry; values from VASP
&SYSTEM
  ibrav = 0, nat = 20, ntyp = 4
/
ATOMIC_SPECIES
Ba 137.33 Ba.upf
Na 22.99 Na.upf
U 238.03 U.upf
Se 78.96 Se.upf
ATOMIC_POSITIONS crystal
Ba 0.0000 0.0000 0.0000
Ba 0.0000 0.5000 0.5000
Na 0.2511 0.0644 0.7482
Na 0.2511 0.4356 0.2482
Na 0.7489 0.5644 0.7518
Na 0.7489 0.9356 0.2518
U 0.5000 0.0000 0.5000
U 0.5000 0.5000 0.0000
Se 0.1118 0.1234 0.3027
Se 0.1118 0.3766 0.8027
Se 0.3336 0.7042 0.1075
Se 0.3336 0.7958 0.6075
Se 0.4353 0.2290 0.1269
Se 0.4353 0.2710 0.6269
Se 0.5647 0.7290 0.3731
Se 0.5647 0.7710 0.8731
Se 0.6664 0.2042 0.3925
Se 0.6664 0.2958 0.8925
Se 0.8882 0.6234 0.1973
Se 0.8882 0.8766 0.6973
CELL_PARAMETERS angstrom
7.9353 0.0000 0.0000
0.0000 8.2088 0.0000
-6.9096 0.0000 9.4501
! Formation energy without anion corrections: -1029.2 meV per atom

5.
! Ba2NaUSe5 PBE optimized geometry; values from VASP
&SYSTEM
  ibrav = 0, nat = 9, ntyp = 4
/
ATOMIC_SPECIES
Ba 137.33 Ba.upf
Na 22.99 Na.upf
U 238.03 U.upf
Se 78.96 Se.upf
ATOMIC_POSITIONS crystal
Ba 0.2091 0.2091 0.0000
Ba 0.7909 0.7909 0.0000
Na 0.5000 0.0000 0.5000
U 0.0000 0.5000 0.5000
Se 0.0000 0.0000 0.0000
Se 0.1113 0.3708 0.7404
Se 0.3696 0.6292 0.7404
Se 0.6304 0.3708 0.2596
Se 0.8887 0.6292 0.2596
CELL_PARAMETERS angstrom
-2.6807 3.9014 7.7978
2.6807 -3.9014 7.7978
2.6807 3.9014 -7.7978
! Formation energy without anion corrections: -1449.8 meV per atom

6.
! BaNaUSe4 PBE optimized geometry; values from VASP
&SYSTEM
  ibrav = 0, nat = 7, ntyp = 4
/
ATOMIC_SPECIES
Ba 137.33 Ba.upf
Na 22.99 Na.upf
U 238.03 U.upf
Se 78.96 Se.upf
ATOMIC_POSITIONS crystal
Ba 0.0000 0.0000 0.0000
Na 0.2818 0.2818 0.0000
U 0.6372 0.6372 0.0000
Se 0.1355 0.6355 0.5000
Se 0.4670 0.4670 0.0000
Se 0.6355 0.1355 0.5000
Se 0.8023 0.8023 0.0000
CELL_PARAMETERS angstrom
-2.7273 2.7273 7.9840
2.7273 -2.7273 7.9840
2.7273 2.7273 -7.9840
! Formation energy without anion corrections: -1321.3 meV per atom

What did we get for total moment? Answer: 0.00, 0.00, 0.77, 2.01, 1.00, 1.00 μB/f.u., in the order shown.
What did we get for uncorrected energy? Answer: -3.875, -3.470, -5.090, -4.705, -5.214, -5.388 eV/atom, in the order shown.